(1)
This record from Alexandria describes a relaxed structure of GaBiCl3. The functional is PBE.

Unit cell a=5.6138 b=5.6138 c=5.6138 alpha=90.00 beta=90.00 gamma=90.00
Atoms (fractional coordinates):
Ga1 0.0000 0.0000 0.0000
Bi1 0.5000 0.5000 0.5000
Cl1 0.0000 0.5000 0.5000
Cl2 0.5000 0.0000 0.5000
Cl3 0.5000 0.5000 0.0000

Values from the calculation:
Electronic total energy ... -14.98 eV/cell


(2)
This record from Alexandria describes a relaxed structure of GaBiCl6. The functional is PBE.

Unit cell a=7.0693 b=7.0693 c=6.3982 alpha=97.52 beta=97.52 gamma=126.03
Atoms (fractional coordinates):
Ga1 0.0000 0.0000 0.0000
Bi1 0.5000 0.5000 0.5000
Cl1 0.0804 0.3524 0.2189
Cl2 0.2397 0.2397 0.7625
Cl3 0.3524 0.0804 0.2189
Cl4 0.6476 0.9196 0.7811
Cl5 0.7603 0.7603 0.2375
Cl6 0.9196 0.6476 0.7811

Values from the calculation:
Electronic total energy ... -25.58 eV/cell


(3)
This record from Alexandria describes a relaxed structure of GaBiCl3. The functional is PBE.

Unit cell a=8.3008 b=8.3008 c=8.3008 alpha=86.87 beta=120.00 gamma=123.69
Atoms (fractional coordinates):
Ga1 0.0369 0.2500 0.2869
Ga2 0.9631 0.7500 0.7131
Bi1 0.0501 0.5320 0.0180
Bi2 0.5140 0.0320 0.9820
Cl1 0.1849 0.1466 0.5383
Cl2 0.3526 0.6377 0.9015
Cl3 0.3526 0.9511 0.2150
Cl4 0.6082 0.6466 0.4617
Cl5 0.7362 0.1376 0.7850
Cl6 0.7362 0.4511 0.0985

Values from the calculation:
Electronic total energy ... -31.48 eV/cell


(4)
This record from Alexandria describes a relaxed structure of Ga2BiCl. The functional is PBE.

Unit cell a=5.1308 b=5.1308 c=5.1308 alpha=60.00 beta=60.00 gamma=60.00
Atoms (fractional coordinates):
Ga1 0.2500 0.2500 0.2500
Ga2 0.7500 0.7500 0.7500
Bi1 0.0000 0.0000 0.0000
Cl1 0.5000 0.5000 0.5000

Values from the calculation:
Electronic total energy ... -12.37 eV/cell


(5)
This record from Alexandria describes a relaxed structure of Ga2BiCl. The functional is PBE.

Unit cell a=8.5924 b=8.5924 c=8.5924 alpha=138.61 beta=138.61 gamma=59.98
Atoms (fractional coordinates):
Ga1 0.1087 0.6250 0.9837
Ga2 0.3750 0.3587 0.4837
Ga3 0.6413 0.1250 0.0163
Ga4 0.8750 0.8913 0.5163
Bi1 0.2500 0.7500 0.5000
Bi2 0.5000 0.5000 0.0000
Cl1 0.0000 0.0000 0.0000
Cl2 0.7500 0.2500 0.5000

Values from the calculation:
Electronic total energy ... -23.90 eV/cell


(6)
This record from Alexandria describes a relaxed structure of GaBiCl2. The functional is PBE.

Unit cell a=10.2462 b=10.2462 c=10.2462 alpha=19.55 beta=19.55 gamma=19.55
Atoms (fractional coordinates):
Ga1 0.0000 0.0000 0.0000
Bi1 0.5000 0.5000 0.5000
Cl1 0.0906 0.0906 0.0906
Cl2 0.9094 0.9094 0.9094

Values from the calculation:
Electronic total energy ... -11.99 eV/cell


(7)
This record from Alexandria describes a relaxed structure of Ga3Bi5Cl12. The functional is PBE.

Unit cell a=12.5892 b=12.5892 c=12.5892 alpha=57.02 beta=57.02 gamma=57.02
Atoms (fractional coordinates):
Ga1 0.2133 0.7500 0.2867
Ga2 0.2500 0.7133 0.7867
Ga3 0.2867 0.2133 0.7500
Ga4 0.7133 0.7867 0.2500
Ga5 0.7500 0.2867 0.2133
Ga6 0.7867 0.2500 0.7133
Bi1 0.0883 0.4117 0.2500
Bi2 0.1753 0.1753 0.1753
Bi3 0.2500 0.0883 0.4117
Bi4 0.3247 0.3247 0.3247
Bi5 0.4117 0.2500 0.0883
Bi6 0.5883 0.7500 0.9117
Bi7 0.6753 0.6753 0.6753
Bi8 0.7500 0.9117 0.5883
Bi9 0.8247 0.8247 0.8247
Bi10 0.9117 0.5883 0.7500
Cl1 0.0280 0.9286 0.3212
Cl2 0.0714 0.6788 0.9720
Cl3 0.1210 0.2565 0.7016
Cl4 0.1788 0.5714 0.4720
Cl5 0.2016 0.7565 0.6210
Cl6 0.2435 0.3790 0.7984
Cl7 0.2565 0.7016 0.1210
Cl8 0.2984 0.8790 0.7435
Cl9 0.3212 0.0280 0.9286
Cl10 0.3790 0.7984 0.2435
Cl11 0.4286 0.5280 0.8212
Cl12 0.4720 0.1788 0.5714
Cl13 0.5280 0.8212 0.4286
Cl14 0.5714 0.4720 0.1788
Cl15 0.6210 0.2016 0.7565
Cl16 0.6788 0.9720 0.0714
Cl17 0.7016 0.1210 0.2565
Cl18 0.7435 0.2984 0.8790
Cl19 0.7565 0.6210 0.2016
Cl20 0.7984 0.2435 0.3790
Cl21 0.8212 0.4286 0.5280
Cl22 0.8790 0.7435 0.2984
Cl23 0.9286 0.3212 0.0280
Cl24 0.9720 0.0714 0.6788

Values from the calculation:
Electronic total energy ... -135.76 eV/cell


(8)
This record from Alexandria describes a relaxed structure of Ga2Bi2Cl. The functional is PBE.

Unit cell a=8.6483 b=8.6483 c=3.5116 alpha=90.00 beta=90.00 gamma=90.00
Atoms (fractional coordinates):
Ga1 0.1536 0.3464 0.0000
Ga2 0.3464 0.8464 0.0000
Ga3 0.6536 0.1536 0.0000
Ga4 0.8464 0.6536 0.0000
Bi1 0.1438 0.6438 0.5000
Bi2 0.3562 0.1438 0.5000
Bi3 0.6438 0.8562 0.5000
Bi4 0.8562 0.3562 0.5000
Cl1 0.0000 0.0000 0.0000
Cl2 0.5000 0.5000 0.0000

Values from the calculation:
Electronic total energy ... -31.59 eV/cell